(1)
# Dy2ZnIr

Dy2ZnIr after structural relaxation (GGA-PBEsol, Alexandria).

The calculation puts the magnetization at 0.00 μB/f.u. The density is 12.02 g cm⁻³. As for the formation energy: -14.10 kcal/mol of atoms. The value obtained for the total energy is -0.219 hartree per atom.

It has space group Fm-3m (No. 225), with a = 6.8535 Å, b = 6.8535 Å, c = 6.8535 Å, α = 90.00°, β = 90.00° and γ = 90.00°. The asymmetric unit holds Dy at (0.2500, 0.2500, 0.2500), Zn at (0.0000, 0.0000, 0.0000) and Ir at (0.0000, 0.0000, 0.5000).

***

(2)
# Li2CoNi

Li2CoNi after structural relaxation (GGA-PBEsol, Alexandria).

The relative energy among the computed polymorphs is 34.0 meV per atom. The calculation puts the magnetization at 1.45 μB/f.u. The density is 4.98 g cm⁻³. As for the formation energy: 2.75 kcal/mol of atoms. The value obtained for the total energy is -0.159 hartree per atom.

It has space group Immm (No. 71), with a = 2.4791 Å, b = 4.1497 Å, c = 8.5270 Å, α = 90.00°, β = 90.00° and γ = 90.00°. The asymmetric unit holds Li at (0.0000, 0.0000, 0.2460), Co at (0.0000, 0.5000, 0.0000) and Ni at (0.0000, 0.5000, 0.5000).